No. 1
A plane-wave DFT calculation with PBE was carried out for crystalline Ac3Hg2Os at its relaxed geometry.

## Properties
Total magnetization, μB/f.u.: 0.00
Energy relative to the elements, eV per atom: -0.23

```
Ac3Hg2Os
1.0
4.295 0.000 0.000
0.000 6.288 0.000
0.000 0.000 15.299
Ac Hg Os
6 4 2
Direct
0.000 0.000 0.000
0.000 0.000 0.371
0.000 0.000 0.629
0.500 0.500 0.129
0.500 0.500 0.500
0.500 0.500 0.871
0.000 0.500 0.310
0.000 0.500 0.690
0.500 0.000 0.190
0.500 0.000 0.810
0.000 0.500 0.000
0.500 0.000 0.500
```

=====

No. 2
A plane-wave DFT calculation with PBE was carried out for crystalline NaInPb14 at its relaxed geometry.

## Properties
Total magnetization, μB/f.u.: 0.00
Energy relative to the elements, eV per atom: -0.02

```
NaInPb14
1.0
7.062 0.000 0.000
0.000 7.062 0.000
0.000 0.000 9.932
Na In Pb
1 1 14
Direct
0.000 0.000 0.000
0.500 0.500 0.000
0.000 0.000 0.500
0.000 0.500 0.000
0.000 0.500 0.500
0.252 0.252 0.247
0.252 0.252 0.753
0.252 0.748 0.247
0.252 0.748 0.753
0.500 0.000 0.000
0.500 0.000 0.500
0.500 0.500 0.500
0.748 0.252 0.247
0.748 0.252 0.753
0.748 0.748 0.247
0.748 0.748 0.753
```